Computed, not measured: crystalline CrPt3F at its relaxed geometry at the PBE+U level of DFT.

Properties
* excess energy over the best structure of this formula in the dataset: 0 meV/atom

Lattice parameters (Å, degrees): 4.387 4.387 4.387 90.00 90.00 90.00
Each line ends with the local moment (μB).
Element x y z (fractional)
Cr (0.500, 0.500, 0.500)  4.00
Pt (0.000, 0.500, 0.000)  -0.34
Pt (0.000, 0.000, 0.500)  -0.26
Pt (0.500, 0.000, 0.000)  -0.32
F (0.000, 0.000, 0.000)  -0.06